Compound: Cs3TlS3
Source: the Alexandria database
Functional: GGA-PBE
Structure: relaxed

Output
Uncorrected energy (eV for the cell shown): -46.74
ΔE_f (raw) (eV/atom): -0.866
ρ (g/cm³): 3.6
Relative energy among the computed polymorphs (kJ/mol of formula units): 22

```
data_Cs3TlS3
_chemical_formula_sum 'Cs6 Tl2 S6'
_symmetry_space_group_name_H-M 'P 63/m'
_symmetry_Int_Tables_number 176
_symmetry_space_group_name_Hall '-P 6c'
_cell_length_a 10.0739
_cell_length_b 10.0739
_cell_length_c 7.2414
_cell_angle_alpha 90.00
_cell_angle_beta 90.00
_cell_angle_gamma 120.00
loop_
_atom_site_label
_atom_site_type_symbol
_atom_site_fract_x
_atom_site_fract_y
_atom_site_fract_z
Cs1 Cs 0.0801 0.7172 0.2500
Tl1 Tl 0.3333 0.6667 0.7500
S1 S 0.1001 0.6904 0.7500
```